Here is crystalline KAc2SnTe4 at its relaxed geometry from Alexandria. Energies are from PBE.

Unit cell a=8.208 b=4.813 c=8.280 alpha=90.00 beta=109.55 gamma=90.00
Element x y z (fractional)
K 0.000 0.000 0.000
Ac 0.000 0.500 0.500
Ac 0.500 0.000 0.500
Sn 0.500 0.500 0.000
Te 0.258 0.000 0.752
Te 0.261 0.500 0.257
Te 0.739 0.500 0.743
Te 0.742 0.000 0.248

space-group type = P2/m, No. 10
formation energy (no corrections) = -1.12 eV per atom

Here is crystalline CeHfPa2 at its relaxed geometry from Alexandria. Energies are from PBE.

Unit cell a=3.116 b=3.116 c=10.042 alpha=90.00 beta=90.00 gamma=90.00
Element x y z (fractional)
Ce 0.000 0.000 0.000
Hf 0.000 0.000 0.500
Pa 0.500 0.500 0.255
Pa 0.500 0.500 0.745

space-group type = P4/mmm, No. 123
distance to the lowest polymorph of the same formula = 0.12 eV per formula unit
formation enthalpy at 0 K = 8.6 kJ/mol of atoms

Here is crystalline LiMg5Cd6 at its relaxed geometry from Alexandria. Energies are from PBE.

Unit cell a=4.722 b=7.524 c=7.462 alpha=90.00 beta=107.69 gamma=90.00
Element x y z (fractional)
Li 0.000 0.000 0.000
Mg 0.000 0.500 0.000
Mg 0.332 0.000 0.665
Mg 0.333 0.500 0.666
Mg 0.667 0.500 0.334
Mg 0.668 0.000 0.335
Cd 0.163 0.246 0.326
Cd 0.163 0.754 0.326
Cd 0.500 0.242 0.000
Cd 0.500 0.758 0.000
Cd 0.837 0.246 0.674
Cd 0.837 0.754 0.674

space-group type = P2/m, No. 10
formation enthalpy at 0 K = -12.7 kJ/mol of atoms

Here is crystalline SbOsI2 at its relaxed geometry from Alexandria. Energies are from PBE.

Unit cell a=5.191 b=5.191 c=5.191 alpha=60.00 beta=60.00 gamma=60.00
Element x y z (fractional)
Sb 0.000 0.000 0.000
Os 0.500 0.500 0.500
I 0.250 0.250 0.250
I 0.750 0.750 0.750

space-group type = Fm-3m, No. 225
formation energy (no corrections) = 1.40 eV per atom

Here is crystalline CaGeAs2 at its relaxed geometry from Alexandria. Energies are from PBE.

Unit cell a=7.502 b=7.502 c=7.502 alpha=29.77 beta=29.77 gamma=29.77
Element x y z (fractional)
Ca 0.000 0.000 0.000
Ge 0.500 0.500 0.500
As 0.237 0.237 0.237
As 0.763 0.763 0.763

space-group type = R-3m, No. 166
formation enthalpy at 0 K = -31.6 kJ/mol of atoms

Here is crystalline B5C7 at its relaxed geometry from Alexandria. Energies are from PBE.

Unit cell a=2.445 b=2.597 c=12.338 alpha=90.00 beta=90.00 gamma=90.00
Element x y z (fractional)
B 0.000 0.000 0.000
B 0.000 0.000 0.318
B 0.000 0.500 0.721
B 0.500 0.000 0.888
B 0.500 0.500 0.484
C 0.000 0.000 0.637
C 0.000 0.500 0.080
C 0.000 0.500 0.394
C 0.500 0.000 0.224
C 0.500 0.000 0.569
C 0.500 0.500 0.154
C 0.500 0.500 0.812

space-group type = Pmm2, No. 25
distance to the lowest polymorph of the same formula = 1.10 eV per formula unit
formation enthalpy at 0 K = 33.7 kJ/mol of atoms

Here is crystalline Tl2ZnRh at its relaxed geometry from Alexandria. Energies are from PBE.

Unit cell a=4.991 b=4.991 c=5.210 alpha=100.90 beta=100.90 gamma=39.70
Element x y z (fractional)
Tl 0.242 0.242 0.240
Tl 0.758 0.758 0.760
Zn 0.000 0.000 0.500
Rh 0.500 0.500 0.000

space-group type = C2/m, No. 12
distance to the lowest polymorph of the same formula = 0.98 eV per formula unit
formation enthalpy at 0 K = 25.0 kJ/mol of atoms

Here is crystalline Na4Pa3NiTe8 at its relaxed geometry from Alexandria. Energies are from PBE.

Unit cell a=8.610 b=8.610 c=9.145 alpha=118.19 beta=118.19 gamma=59.86
Element x y z (fractional)
Na 0.000 0.000 0.000
Na 0.000 0.500 0.000
Na 0.500 0.000 0.000
Na 0.500 0.500 0.000
Pa 0.000 0.000 0.500
Pa 0.000 0.500 0.500
Pa 0.500 0.000 0.500
Ni 0.500 0.500 0.500
Te 0.248 0.248 0.743
Te 0.263 0.730 0.722
Te 0.268 0.268 0.276
Te 0.270 0.737 0.278
Te 0.730 0.263 0.722
Te 0.732 0.732 0.724
Te 0.737 0.270 0.278
Te 0.752 0.752 0.257

space-group type = C2/m, No. 12
formation energy (no corrections) = -0.73 eV per atom

Here is crystalline Er6TmFe2 at its relaxed geometry from Alexandria. Energies are from PBE.

Unit cell a=8.427 b=8.427 c=8.427 alpha=111.48 beta=109.25 gamma=107.70
Element x y z (fractional)
Er 0.027 0.242 0.785
Er 0.186 0.283 0.470
Er 0.186 0.717 0.903
Er 0.322 0.004 0.683
Er 0.322 0.639 0.317
Er 0.457 0.242 0.215
Er 0.543 0.758 0.785
Er 0.678 0.361 0.683
Er 0.678 0.996 0.317
Er 0.814 0.283 0.097
Er 0.814 0.717 0.530
Er 0.973 0.758 0.215
Tm 0.000 0.000 0.000
Tm 0.500 0.500 0.000
Fe 0.109 0.609 0.500
Fe 0.305 0.000 0.305
Fe 0.695 0.000 0.695
Fe 0.891 0.391 0.500

space-group type = Immm, No. 71
formation enthalpy at 0 K = 2.1 kJ/mol of atoms

Here is crystalline KIn2Ag at its relaxed geometry from Alexandria. Energies are from PBE.

Unit cell a=4.561 b=4.745 c=5.170 alpha=90.00 beta=90.00 gamma=90.00
Element x y z (fractional)
K 0.000 0.000 0.000
In 0.000 0.500 0.500
In 0.500 0.000 0.500
Ag 0.500 0.500 0.000

space-group type = Pmmm, No. 47
formation enthalpy at 0 K = 9.9 kJ/mol of atoms

Here is crystalline CsNa2Ti at its relaxed geometry from Alexandria. Energies are from PBE.

Unit cell a=6.219 b=6.219 c=6.219 alpha=60.00 beta=60.00 gamma=60.00
Element x y z (fractional)
Cs 0.000 0.000 0.000
Na 0.250 0.250 0.250
Na 0.750 0.750 0.750
Ti 0.500 0.500 0.500

space-group type = Fm-3m, No. 225
formation enthalpy at 0 K = 82.2 kJ/mol of atoms

Here is crystalline Ba2ZnRuO4 at its relaxed geometry from Alexandria. Energies are from PBE.

Unit cell a=5.589 b=5.589 c=5.589 alpha=111.67 beta=111.67 gamma=105.16
Element x y z (fractional)
Ba 0.000 0.000 0.000
Ba 0.750 0.250 0.500
Zn 0.500 0.500 0.000
Ru 0.250 0.750 0.500
O 0.173 0.101 0.640
O 0.461 0.533 0.360
O 0.467 0.827 0.929
O 0.899 0.539 0.071

space-group type = I-4, No. 82
formation energy (no corrections) = -1.56 eV per atom

| no. | spin magnetization (μB per atom) | theoretical density (kg/m3) | V (Å³ per cell) |
| --- | --- | --- | --- |
| 1 | 0.000 | 6046 | 308.24 |
| 2 | 0.000 | 13295 | 97.51 |
| 3 | 0.000 | 5278 | 252.59 |
| 4 | 0.348 | 9501 | 98.88 |
| 5 | 0.000 | 4729 | 92.19 |
| 6 | 0.000 | 2927 | 78.37 |
| 7 | 0.000 | 11800 | 81.21 |
| 8 | 0.298 | 6299 | 491.50 |
| 9 | 0.055 | 9268 | 460.16 |
| 10 | 0.000 | 5589 | 111.89 |
| 11 | 0.727 | 2214 | 170.04 |
| 12 | 0.250 | 6268 | 133.81 |